(1)
H3AuF after structural relaxation. Source: Alexandria, functional PBE.

**Energy above the most stable polymorph in this dataset**: 0 meV per atom

Unit cell a=3.509 b=3.509 c=3.509 alpha=90.00 beta=90.00 gamma=90.00
Fractional positions:
1 H 0.000 0.000 0.500
2 H 0.000 0.500 0.000
3 H 0.500 0.000 0.000
4 Au 0.000 0.000 0.000
5 F 0.500 0.500 0.500



(2)
Zr2ScTa after structural relaxation. Source: Alexandria, functional PBE.

**Calculated formation energy**: 132 meV per atom

Unit cell a=3.011 b=3.011 c=10.157 alpha=90.00 beta=90.00 gamma=107.98
Fractional positions:
1 Zr 0.000 0.000 0.230
2 Zr 0.000 0.000 0.770
3 Sc 0.500 0.500 0.500
4 Ta 0.500 0.500 0.000



(3)
ZrTiPdAu after structural relaxation. Source: Alexandria, functional PBE.

**Calculated formation energy**: -526 meV per atom

Unit cell a=3.398 b=3.398 c=6.250 alpha=90.00 beta=90.00 gamma=90.00
Fractional positions:
1 Zr 0.000 0.000 0.000
2 Ti 0.500 0.500 0.293
3 Pd 0.500 0.500 0.768
4 Au 0.000 0.000 0.505



(4)
GaCoSe2 after structural relaxation. Source: Alexandria, functional PBE.

**Formation energy from raw total energies**: -0.29 eV/atom

Unit cell a=3.619 b=6.416 c=7.469 alpha=84.67 beta=89.80 gamma=82.35
Fractional positions:
1 Ga 0.247 0.041 0.351
2 Ga 0.753 0.959 0.649
3 Co 0.298 0.690 0.518
4 Co 0.702 0.310 0.482
5 Se 0.202 0.360 0.666
6 Se 0.294 0.794 0.832
7 Se 0.706 0.206 0.168
8 Se 0.798 0.640 0.334



(5)
LiCaFe after structural relaxation. Source: Alexandria, functional PBE.

**Calculated formation energy**: 302 meV per atom
**Energy above the most stable polymorph in this dataset**: 48 meV per atom

Unit cell a=5.752 b=5.752 c=7.250 alpha=111.24 beta=111.24 gamma=37.71
Fractional positions:
1 Li 0.000 0.000 0.000
2 Li 0.153 0.153 0.425
3 Ca 0.365 0.365 0.251
4 Ca 0.636 0.636 0.766
5 Fe 0.355 0.355 0.764
6 Fe 0.877 0.877 0.595



(6)
BaCu7P3 after structural relaxation. Source: Alexandria, functional PBE.

**Calculated formation energy**: -90 meV per atom

Unit cell a=8.075 b=8.075 c=8.075 alpha=56.36 beta=56.36 gamma=56.36
Fractional positions:
1 Ba 0.000 0.000 0.000
2 Ba 0.500 0.500 0.500
3 Cu 0.060 0.852 0.663
4 Cu 0.148 0.337 0.940
5 Cu 0.163 0.352 0.560
6 Cu 0.250 0.250 0.250
7 Cu 0.337 0.940 0.148
8 Cu 0.352 0.560 0.163
9 Cu 0.440 0.837 0.648
10 Cu 0.560 0.163 0.352
11 Cu 0.648 0.440 0.837
12 Cu 0.663 0.060 0.852
13 Cu 0.750 0.750 0.750
14 Cu 0.837 0.648 0.440
15 Cu 0.852 0.663 0.060
16 Cu 0.940 0.148 0.337
17 P 0.074 0.750 0.426
18 P 0.250 0.574 0.926
19 P 0.426 0.074 0.750
20 P 0.574 0.926 0.250
21 P 0.750 0.426 0.074
22 P 0.926 0.250 0.574



Quick rundown of theoretical density, same order as above: 8.4 7.7 10.2 5.6 2.5 6.6 g cm⁻³